First-principles (meta-GGA SCAN) data for a crystal of Sc3Cu relaxed with PBEsol, as listed in Alexandria via LeMat-Bulk.

Values from the calculation:
space group: Pnma, No. 62
Fermi-level density of states: 2.27 states/eV/f.u.
energy relative to the elements: -18 kJ per mole of atoms

Lattice parameters (Å, degrees): 6.0292 6.1510 8.6783 90.00 90.00 90.00
Last column: nearest neighbours and their distance in Å.
Element x y z (fractional)
Cu: 0.4775 0.9460 0.2500  6 Sc 2.54-2.78
Cu: 0.9775 0.5540 0.7500  6 Sc 2.54-2.78
Cu: 0.0225 0.4460 0.2500  6 Sc 2.54-2.78
Cu: 0.5225 0.0540 0.7500  6 Sc 2.54-2.78
Sc: 0.8934 0.0114 0.2500  2 Cu 2.54-2.78
Sc: 0.3934 0.4886 0.7500  2 Cu 2.54-2.78
Sc: 0.6066 0.5114 0.2500  2 Cu 2.54-2.78
Sc: 0.1066 0.9886 0.7500  2 Cu 2.54-2.78
Sc: 0.2897 0.2122 0.0536  2 Cu 2.62-2.75
Sc: 0.7897 0.2878 0.9464  2 Cu 2.62-2.75
Sc: 0.2103 0.7122 0.4464  2 Cu 2.62-2.75
Sc: 0.7103 0.7878 0.5536  2 Cu 2.62-2.75
Sc: 0.7103 0.7878 0.9464  2 Cu 2.62-2.75
Sc: 0.2103 0.7122 0.0536  2 Cu 2.62-2.75
Sc: 0.7897 0.2878 0.5536  2 Cu 2.62-2.75
Sc: 0.2897 0.2122 0.4464  2 Cu 2.62-2.75